a:
! PBE LaRe2Ag, relaxed; values from VASP
&SYSTEM
  ibrav = 0, nat = 4, ntyp = 3
/
ATOMIC_SPECIES
Re 186.21 Re.upf
Ag 107.87 Ag.upf
La 138.91 La.upf
CELL_PARAMETERS angstrom
4.4086 -0.0073 0.0027
3.1282 3.1064 0.0027
1.3677 0.5624 6.5162
ATOMIC_POSITIONS crystal
Re 0.0186 0.0186 0.9135
Re 0.7404 0.7404 0.7980
Ag 0.4852 0.4852 0.5600
La 0.2559 0.2559 0.2285
! Crystal system = monoclinic
! Space-group type = Cm, No. 8


b:
! PBE LaRe2Ag, relaxed; values from VASP
&SYSTEM
  ibrav = 0, nat = 4, ntyp = 3
/
ATOMIC_SPECIES
Re 186.21 Re.upf
Ag 107.87 Ag.upf
La 138.91 La.upf
CELL_PARAMETERS angstrom
5.6145 0.0201 0.0000
2.6772 4.9351 0.0000
-4.1459 -2.4776 2.8629
ATOMIC_POSITIONS crystal
Re 0.0000 0.0000 0.0000
Re 0.5000 0.5000 0.0000
Ag 0.2500 0.7500 0.5000
La 0.7500 0.2500 0.5000
! Crystal system = tetragonal
! Space-group type = I4/mmm, No. 139


c:
! PBE LaRe2Ag, relaxed; values from VASP
&SYSTEM
  ibrav = 0, nat = 4, ntyp = 3
/
ATOMIC_SPECIES
Re 186.21 Re.upf
Ag 107.87 Ag.upf
La 138.91 La.upf
CELL_PARAMETERS angstrom
5.2381 -0.0138 0.0108
3.8016 3.6035 0.0108
1.7728 0.7040 4.9061
ATOMIC_POSITIONS crystal
Re 0.0206 0.0206 0.8644
Re 0.4794 0.4794 0.6356
Ag 0.7500 0.7500 0.7500
La 0.2500 0.2500 0.2500
! Crystal system = monoclinic
! Space-group type = C2/m, No. 12


Which structure is the least stable? The one labeled b.


a:
! PBE LaRe2Ag, relaxed; values from VASP
&SYSTEM
  ibrav = 0, nat = 4, ntyp = 3
/
ATOMIC_SPECIES
Re 186.21 Re.upf
Ag 107.87 Ag.upf
La 138.91 La.upf
CELL_PARAMETERS angstrom
2.8061 -0.0392 0.0000
-1.0717 2.5936 0.0000
0.0000 0.0000 10.1817
ATOMIC_POSITIONS crystal
Re 0.0000 0.0000 0.0158
Re 0.0000 0.0000 0.4842
Ag 0.5000 0.5000 0.2500
La 0.5000 0.5000 0.7500
! Crystal system = orthorhombic
! Space-group type = Cmmm, No. 65


b:
! PBE LaRe2Ag, relaxed; values from VASP
&SYSTEM
  ibrav = 0, nat = 8, ntyp = 3
/
ATOMIC_SPECIES
Re 186.21 Re.upf
Ag 107.87 Ag.upf
La 138.91 La.upf
CELL_PARAMETERS angstrom
4.2210 0.0000 0.0000
0.0000 4.2210 0.0000
2.1105 2.1105 9.9943
ATOMIC_POSITIONS crystal
Re 0.5270 0.1250 0.2500
Re 0.2230 0.6250 0.2500
Re 0.3750 0.4730 0.7500
Re 0.8750 0.7770 0.7500
Ag 0.5000 0.5000 0.0000
Ag 0.2500 0.7500 0.5000
La 0.0000 0.0000 0.0000
La 0.7500 0.2500 0.5000
! Crystal system = tetragonal
! Space-group type = I-42d, No. 122


Which structure is the least stable? The one labeled a.